A plane-wave DFT calculation with GGA+U was carried out for a geometry-optimized MnZnF2 structure.

Properties
Energy above the most stable polymorph in this dataset, kcal/mol of atoms: 2.08
SG: I-42d, No. 122
Crystal system: tetragonal
DOS at the Fermi energy, states/eV per atom: 0.00

Cell lengths 6.4106, 6.4106, 6.5447 Å; angles 60.68, 60.68, 90.00 degrees
Site moments in Bohr magnetons follow the coordinates.
Positions (direct):
Zn 0.7500 0.2500 0.5000  0.00
Zn 0.0000 0.0000 0.0000  0.00
Mn 0.2500 0.7500 0.5000  4.67
Mn 0.5000 0.5000 0.0000  4.67
F 0.4255 0.1250 0.2500  0.06
F 0.3750 0.5745 0.7500  0.05
F 0.8750 0.6755 0.7500  0.05
F 0.3245 0.6250 0.2500  0.05

A plane-wave DFT calculation with GGA+U was carried out for a geometry-optimized MnZnF2 structure.

Properties
Energy above the most stable polymorph in this dataset, kcal/mol of atoms: 0.00
SG: R-3m, No. 166
Crystal system: trigonal
DOS at the Fermi energy, states/eV per atom: 0.15

Cell lengths 8.5487, 8.5487, 8.5487 Å; angles 22.30, 22.30, 22.30 degrees
Site moments in Bohr magnetons follow the coordinates.
Positions (direct):
F 0.1269 0.1269 0.1269  0.06
F 0.8731 0.8731 0.8731  0.06
Zn 0.0000 0.0000 0.0000  0.00
Mn 0.5000 0.5000 0.5000  4.70

Q: Which formula does entry 2 have?
A: MnZnF2

Q: What is the formula in the second record?
A: MnZnF2

Q: energy above the most stable polymorph in this dataset of number 1 (MnZnF2)?
A: 2.08 kcal/mol of atoms